The following is a DFT calculation (PBE) of crystalline RbZnFe at its relaxed geometry.

abc: 5.009 5.009 5.009
angles: 60.00 60.00 60.00
Sites, in units of the cell vectors:
Rb 0.000 0.000 0.000
Zn 0.500 0.500 0.500
Fe 0.250 0.250 0.250

Output
magnetic moment: 0.993 μB per atom
DFT total energy: -2.40 eV/atom